Material: ErSb2Pb
Method: DFT, PBE
State: relaxed

Computed properties:
As for the space-group type: R-3m, No. 166. As for the total energy: -4.542 eV/atom. The calculation puts the formation energy from raw total energies at -0.41 eV per atom. The calculation puts the total magnetization at 0.0 μB per formula unit. The distance to the lowest polymorph of the same formula comes out at 0.7 kJ/mol of atoms.

a b c (Å): 4.371 4.371 8.048
angles (deg): 74.24 74.24 60.00
Fractional coordinates of all 4 atoms:
Sb (0.744, 0.744, 0.769)
Pb (0.500, 0.500, 0.500)
Er (0.000, 0.000, 0.000)
Sb (0.256, 0.256, 0.231)